Compound: Be3SbOs
Source: Alexandria
Functional: SCAN
Structure: single point on PBEsol structure

The structure belongs to space group Pm-3m (No. 221); the cell edges are 4.382, 4.382 and 4.382 Å and the angles 90.00°, 90.00° and 90.00°. The distinct sites, in fractional coordinates, are Be at (0.000, 0.000, 0.500), Sb at (0.000, 0.000, 0.000) and Os at (0.500, 0.500, 0.500).

As for the crystal system: cubic. The value obtained for the uncorrected formation energy is 9.9 eV/f.u.

***

Compound: ReSiSb2
Source: Alexandria
Functional: SCAN
Structure: single point on PBEsol structure

The structure belongs to space group Amm2 (No. 38); the cell edges are 4.037, 3.291 and 12.782 Å and the angles 90.00°, 90.00° and 90.00°. The distinct sites, in fractional coordinates, are Re at (0.000, 0.000, 0.000), Si at (0.500, 0.000, 0.903), Sb at (0.000, 0.000, 0.322) and Sb at (0.500, 0.000, 0.603).

As for the crystal system: orthorhombic. The value obtained for the uncorrected formation energy is 2.0 eV/f.u.

***

Compound: ZnPSeS2
Source: Alexandria
Functional: SCAN
Structure: single point on PBEsol structure

The structure belongs to space group P4/mmm (No. 123); the cell edges are 4.661, 4.661 and 4.783 Å and the angles 90.00°, 90.00° and 90.00°. The distinct sites, in fractional coordinates, are Zn at (0.000, 0.000, 0.000), P at (0.500, 0.500, 0.000), Se at (0.500, 0.500, 0.500) and S at (0.000, 0.500, 0.500).

As for the crystal system: tetragonal. The value obtained for the uncorrected formation energy is 4.8 eV/f.u.

***

Compound: Sr2LaAg2
Source: Alexandria
Functional: SCAN
Structure: single point on PBEsol structure

The structure belongs to space group P4/mbm (No. 127); the cell edges are 8.155, 8.155 and 4.712 Å and the angles 90.00°, 90.00° and 90.00°. The distinct sites, in fractional coordinates, are Sr at (0.169, 0.331, 0.000), La at (0.000, 0.000, 0.500) and Ag at (0.124, 0.624, 0.500).

As for the crystal system: tetragonal. The value obtained for the total energy is -1.113 Ha/atom.

***

Compound: CeScS3
Source: Alexandria
Functional: SCAN
Structure: single point on PBEsol structure

The structure belongs to space group Pnma (No. 62); the cell edges are 7.125, 9.355 and 6.345 Å and the angles 90.00°, 90.00° and 90.00°. The distinct sites, in fractional coordinates, are Ce at (0.106, 0.250, 0.042), Sc at (0.000, 0.000, 0.500), S at (0.040, 0.750, 0.365) and S at (0.184, 0.562, 0.829).

As for the crystal system: orthorhombic. The value obtained for the uncorrected formation energy is -11.4 eV/f.u.

***

Compound: CdCuP2N
Source: Alexandria
Functional: SCAN
Structure: single point on PBEsol structure

The structure belongs to space group P4/mmm (No. 123); the cell edges are 4.304, 4.304 and 3.751 Å and the angles 90.00°, 90.00° and 90.00°. The distinct sites, in fractional coordinates, are Cd at (0.000, 0.000, 0.000), Cu at (0.500, 0.500, 0.000), P at (0.000, 0.500, 0.500) and N at (0.500, 0.500, 0.500).

As for the crystal system: tetragonal. The value obtained for the uncorrected formation energy is 3.7 eV/f.u.

***

no.,calculated volume (Å³/cell)
1,84
2,170
3,104
4,313
5,423
6,69